[1]
! BaSi3 PBE optimized geometry; values from VASP
&SYSTEM
  ibrav = 0, nat = 8, ntyp = 2
/
ATOMIC_SPECIES
Ba 137.33 Ba.upf
Si 28.09 Si.upf
CELL_PARAMETERS angstrom
3.913 0.000 0.000
0.000 7.946 0.000
0.000 0.000 6.020
ATOMIC_POSITIONS angstrom
Ba 0.978 1.987 0.655
Ba 2.935 5.960 5.365
Si 0.978 0.199 3.774
Si 0.978 3.774 3.774
Si 0.978 5.960 2.365
Si 2.935 1.987 3.655
Si 2.935 4.172 2.246
Si 2.935 7.747 2.246
! Formation energy without anion corrections, kJ/mol of formula units: -48
! ρ, g/cm3: 3.931
! Space group: Pmmn, No. 59
! V, Å³ per cell: 187.22
! D(E_F), states/eV/cell: 2.5


[2]
! YZr2TlS PBE optimized geometry; values from VASP
&SYSTEM
  ibrav = 0, nat = 5, ntyp = 4
/
ATOMIC_SPECIES
Y 88.91 Y.upf
Zr 91.22 Zr.upf
Tl 204.38 Tl.upf
S 32.06 S.upf
CELL_PARAMETERS angstrom
4.842 0.000 0.000
0.000 4.842 0.000
0.000 0.000 5.637
ATOMIC_POSITIONS angstrom
Y 0.000 0.000 0.000
Zr 0.000 2.421 2.818
Zr 2.421 0.000 2.818
Tl 2.421 2.421 0.000
S 2.421 2.421 2.818
! Formation energy without anion corrections, kJ/mol of formula units: -129
! ρ, g/cm3: 6.380
! Space group: P4/mmm, No. 123
! V, Å³ per cell: 132.16
! D(E_F), states/eV/cell: 5.4


[3]
! Nd3TmPa2N6 PBE optimized geometry; values from VASP
&SYSTEM
  ibrav = 0, nat = 12, ntyp = 4
/
ATOMIC_SPECIES
Nd 144.24 Nd.upf
Tm 168.93 Tm.upf
Pa 231.04 Pa.upf
N 14.01 N.upf
CELL_PARAMETERS angstrom
3.063 -5.309 0.000
3.063 5.309 0.000
-2.039 0.000 5.865
ATOMIC_POSITIONS angstrom
Nd 0.000 0.000 0.000
Nd 3.063 1.759 0.000
Nd 3.063 -1.759 0.000
Tm 2.043 0.000 2.933
Pa 2.043 3.539 2.933
Pa 2.043 -3.539 2.933
N 0.994 1.815 1.673
N -0.048 0.000 4.196
N 0.994 -1.815 1.673
N 3.093 1.815 4.192
N 4.135 0.000 1.669
N 3.093 -1.815 4.192
! Formation energy without anion corrections, kJ/mol of formula units: -1856
! ρ, g/cm3: 9.991
! Space group: C2/m, No. 12
! V, Å³ per cell: 190.77
! D(E_F), states/eV/cell: 5.1


[4]
! Al2RhPb PBE optimized geometry; values from VASP
&SYSTEM
  ibrav = 0, nat = 4, ntyp = 3
/
ATOMIC_SPECIES
Al 26.98 Al.upf
Rh 102.91 Rh.upf
Pb 207.20 Pb.upf
CELL_PARAMETERS angstrom
3.462 0.000 0.000
0.000 4.350 0.000
-1.455 0.000 5.155
ATOMIC_POSITIONS angstrom
Al 0.046 0.000 1.454
Al 1.961 0.000 3.701
Rh -0.727 2.175 2.578
Pb 1.731 2.175 0.000
! ρ, g/cm3: 7.786
! Space group: P2/m, No. 10
! V, Å³ per cell: 77.64
! E_form, meV/atom: -45
! D(E_F), states/eV/cell: 1.9


[5]
! FeNiSN2 PBE optimized geometry; values from VASP
&SYSTEM
  ibrav = 0, nat = 5, ntyp = 4
/
ATOMIC_SPECIES
Fe 55.84 Fe.upf
Ni 58.69 Ni.upf
S 32.06 S.upf
N 14.01 N.upf
CELL_PARAMETERS angstrom
3.420 0.000 0.000
0.000 3.420 0.000
0.000 0.000 5.656
ATOMIC_POSITIONS angstrom
Fe 0.000 0.000 0.000
Ni 0.000 0.000 2.828
S 1.710 1.710 0.000
N 0.000 1.710 2.828
N 1.710 0.000 2.828
! Formation energy without anion corrections, kJ/mol of formula units: 573
! ρ, g/cm3: 4.383
! Space group: P4/mmm, No. 123
! V, Å³ per cell: 66.15
! Excess energy over the best structure of this formula in the dataset, meV per atom: 358
! D(E_F), states/eV/cell: 5.0


[6]
! Al3TlAu3 PBE optimized geometry; values from VASP
&SYSTEM
  ibrav = 0, nat = 14, ntyp = 3
/
ATOMIC_SPECIES
Al 26.98 Al.upf
Tl 204.38 Tl.upf
Au 196.97 Au.upf
CELL_PARAMETERS angstrom
7.107 0.000 0.000
0.000 7.107 0.000
0.000 0.000 7.107
ATOMIC_POSITIONS angstrom
Al 0.000 1.777 3.553
Al 0.000 5.330 3.553
Al 1.777 3.553 0.000
Al 3.553 0.000 1.777
Al 3.553 0.000 5.330
Al 5.330 3.553 0.000
Tl 0.000 0.000 0.000
Tl 3.553 3.553 3.553
Au 0.000 3.553 1.777
Au 0.000 3.553 5.330
Au 1.777 0.000 3.553
Au 3.553 1.777 0.000
Au 3.553 5.330 0.000
Au 5.330 0.000 3.553
! ρ, g/cm3: 8.107
! Space group: Pm-3n, No. 223
! V, Å³ per cell: 358.94
! E_form, meV/atom: -66
! D(E_F), states/eV/cell: 4.9


Repeat the fourth record exactly.
! Al2RhPb PBE optimized geometry; values from VASP
&SYSTEM
  ibrav = 0, nat = 4, ntyp = 3
/
ATOMIC_SPECIES
Al 26.98 Al.upf
Rh 102.91 Rh.upf
Pb 207.20 Pb.upf
CELL_PARAMETERS angstrom
3.462 0.000 0.000
0.000 4.350 0.000
-1.455 0.000 5.155
ATOMIC_POSITIONS angstrom
Al 0.046 0.000 1.454
Al 1.961 0.000 3.701
Rh -0.727 2.175 2.578
Pb 1.731 2.175 0.000
! ρ, g/cm3: 7.786
! Space group: P2/m, No. 10
! V, Å³ per cell: 77.64
! E_form, meV/atom: -45
! D(E_F), states/eV/cell: 1.9


- Which of these has the highest D(E_F)?
  YZr2TlS


- Which of these has the highest V?
  Al3TlAu3


Repeat the third record exactly.
! Nd3TmPa2N6 PBE optimized geometry; values from VASP
&SYSTEM
  ibrav = 0, nat = 12, ntyp = 4
/
ATOMIC_SPECIES
Nd 144.24 Nd.upf
Tm 168.93 Tm.upf
Pa 231.04 Pa.upf
N 14.01 N.upf
CELL_PARAMETERS angstrom
3.063 -5.309 0.000
3.063 5.309 0.000
-2.039 0.000 5.865
ATOMIC_POSITIONS angstrom
Nd 0.000 0.000 0.000
Nd 3.063 1.759 0.000
Nd 3.063 -1.759 0.000
Tm 2.043 0.000 2.933
Pa 2.043 3.539 2.933
Pa 2.043 -3.539 2.933
N 0.994 1.815 1.673
N -0.048 0.000 4.196
N 0.994 -1.815 1.673
N 3.093 1.815 4.192
N 4.135 0.000 1.669
N 3.093 -1.815 4.192
! Formation energy without anion corrections, kJ/mol of formula units: -1856
! ρ, g/cm3: 9.991
! Space group: C2/m, No. 12
! V, Å³ per cell: 190.77
! D(E_F), states/eV/cell: 5.1